Computed, not measured: a relaxed RuRh2Br crystal at the PBE-GGA level of DFT.

abc: 2.875 4.641 4.658
angles: 90.00 90.00 90.00
Fractional positions:
Ru (0.000, 0.000, 0.000)
Rh (0.000, 0.500, 0.500)
Rh (0.500, 0.500, 0.000)
Br (0.500, 0.000, 0.500)

## Properties
Energy relative to the elements, uncorrected: 2.996 eV per formula unit
M_tot: 0.33 μB/atom
Energy above the lowest structure with this stoichiometry: 1.251 eV/f.u.



Computed, not measured: a relaxed RuRhBr2 crystal at the PBE-GGA level of DFT.

abc: 6.153 6.153 6.153
angles: 144.77 144.77 50.68
Fractional positions:
Ru (0.000, 0.000, 0.000)
Rh (0.750, 0.250, 0.500)
Br (0.250, 0.750, 0.500)
Br (0.500, 0.500, 0.000)

## Properties
Energy relative to the elements, uncorrected: 3.628 eV per formula unit
M_tot: 0.71 μB/atom
Energy above the lowest structure with this stoichiometry: 2.741 eV/f.u.



Computed, not measured: a relaxed RuRhBr2 crystal at the PBE-GGA level of DFT.

abc: 4.721 4.721 4.721
angles: 60.00 60.00 60.00
Fractional positions:
Ru (0.000, 0.000, 0.000)
Rh (0.750, 0.750, 0.750)
Br (0.250, 0.250, 0.250)
Br (0.500, 0.500, 0.500)

## Properties
Energy relative to the elements, uncorrected: 4.402 eV per formula unit
M_tot: 0.65 μB/atom
Energy above the lowest structure with this stoichiometry: 3.515 eV/f.u.



Computed, not measured: a relaxed RuRhBr4 crystal at the PBE-GGA level of DFT.

abc: 6.026 6.026 6.026
angles: 60.00 60.00 60.00
Fractional positions:
Ru (0.000, 0.000, 0.000)
Rh (0.250, 0.250, 0.250)
Br (0.124, 0.625, 0.625)
Br (0.625, 0.124, 0.625)
Br (0.625, 0.625, 0.124)
Br (0.625, 0.625, 0.625)

## Properties
Energy relative to the elements, uncorrected: 9.691 eV per formula unit
M_tot: 0.68 μB/atom



> Number 4 is which compound?

RuRhBr4



> Which formula does entry 4 have?

RuRhBr4



Copy entry 3 word for word.
Computed, not measured: a relaxed RuRhBr2 crystal at the PBE-GGA level of DFT.

abc: 4.721 4.721 4.721
angles: 60.00 60.00 60.00
Fractional positions:
Ru (0.000, 0.000, 0.000)
Rh (0.750, 0.750, 0.750)
Br (0.250, 0.250, 0.250)
Br (0.500, 0.500, 0.500)

## Properties
Energy relative to the elements, uncorrected: 4.402 eV per formula unit
M_tot: 0.65 μB/atom
Energy above the lowest structure with this stoichiometry: 3.515 eV/f.u.